Record 1
# HfScNiAs

Crystalline HfScNiAs at its relaxed geometry (PBE, OQMD).

Cell: 4.605 4.605 4.605 Å, 60.00 60.00 60.00°
Fractional positions:
Hf (0.500, 0.500, 0.500)
As (0.000, 0.000, 0.000)
Sc (0.250, 0.250, 0.250)
Ni (0.750, 0.750, 0.750)

Calculated values
The crystal system is cubic. The space-group type is F-43m (216). The value obtained for the total energy is -26.3 eV per cell.


Record 2
# TbHgPO

Crystalline TbHgPO at its relaxed geometry (PBE, OQMD).

Cell: 4.078 6.137 6.683 Å, 90.00 90.00 90.00°
Fractional positions:
O (0.500, 0.222, 0.860)
O (0.500, 0.778, 0.360)
Tb (0.500, 0.043, 0.579)
Tb (0.500, 0.957, 0.079)
Hg (0.000, 0.435, 0.998)
Hg (0.000, 0.565, 0.498)
P (0.000, 0.212, 0.317)
P (0.000, 0.788, 0.817)

Calculated values
The crystal system is orthorhombic. The space-group type is Pmc2_1 (26). The value obtained for the total energy is -40.7 eV per cell.